[1]
Material: InH3I2O8
Method: DFT, PBE-GGA
State: relaxed

Unit cell a=6.9153 b=7.8048 c=7.8405 alpha=99.81 beta=109.71 gamma=93.10
Last column: nearest neighbours and their distance in Å.
Atoms (fractional coordinates):
In1 0.0000 0.0000 0.0000  6 O 2.15-2.24
In2 0.0000 0.5000 0.0000  6 O 2.17-2.19
H1 0.1768 0.9377 0.5363  1 O 0.98
H2 0.8232 0.0623 0.4637  1 O 0.98
H3 0.7767 0.2541 0.4916  1 O 0.98
H4 0.2233 0.7459 0.5084  1 O 0.98
H5 0.9844 0.2077 0.7615  1 O 1.01
H6 0.0156 0.7923 0.2385  1 O 1.01
I1 0.7131 0.6677 0.5717  3 O 1.83-1.84
I2 0.2869 0.3323 0.4283  3 O 1.83-1.84
I3 0.5162 0.2288 0.9644  3 O 1.81-1.87
I4 0.4838 0.7712 0.0356  3 O 1.81-1.87
O1 0.5676 0.8366 0.2845  1 I 1.81
O2 0.4324 0.1634 0.7155  1 I 1.81
O3 0.2914 0.9262 0.9571  1 I 1.87
O4 0.7086 0.0738 0.0429  1 I 1.87
O5 0.9557 0.7663 0.0992  1 H 1.01
O6 0.0443 0.2337 0.9008  1 H 1.01
O7 0.8906 0.1814 0.5236  2 H 0.98
O8 0.1094 0.8186 0.4764  2 H 0.98
O9 0.8112 0.8879 0.7136  1 I 1.83
O10 0.1888 0.1121 0.2864  1 I 1.83
O11 0.4765 0.6409 0.6280  1 I 1.84, 1 H 1.98
O12 0.5235 0.3591 0.3720  1 I 1.84, 1 H 1.98
O13 0.3078 0.5695 0.9936  1 I 1.85
O14 0.6922 0.4305 0.0064  1 I 1.85
O15 0.8820 0.5331 0.7142  1 I 1.84
O16 0.1180 0.4669 0.2858  1 I 1.84

symmetry = P-1, No. 2
crystal system = triclinic
electronic total energy = -4.743 eV per atom

=====

[2]
Material: InH2PbI
Method: DFT, PBE-GGA
State: relaxed

Unit cell a=4.3422 b=6.7371 c=4.3422 alpha=90.00 beta=90.00 gamma=90.00
Last column: nearest neighbours and their distance in Å.
Atoms (fractional coordinates):
Pb1 0.0000 0.5000 0.0000  4 In 3.07, 2 I 3.37
I1 0.0000 0.0000 0.0000  4 H 2.17
H1 0.0000 0.0000 0.5000  2 I 2.17
H2 0.5000 0.0000 0.0000  2 I 2.17
In1 0.5000 0.5000 0.5000  4 Pb 3.07

symmetry = P4/mmm, No. 123
crystal system = tetragonal
electronic total energy = -2.364 eV per atom

=====

[3]
Material: RbInHI2
Method: DFT, PBE-GGA
State: relaxed

Unit cell a=6.4271 b=6.9216 c=6.4271 alpha=90.00 beta=90.00 gamma=90.00
Last column: nearest neighbours and their distance in Å.
Atoms (fractional coordinates):
I1 0.0000 0.0000 0.5000  2 In 3.21
I2 0.5000 0.0000 0.0000  2 In 3.21
H1 0.5000 0.5000 0.5000  4 Rb 4.54, 8 I 4.72
Rb1 0.0000 0.5000 0.0000  2 In 3.46
In1 0.0000 0.0000 0.0000  4 I 3.21, 2 Rb 3.46

symmetry = P4/mmm, No. 123
crystal system = tetragonal
electronic total energy = -2.029 eV per atom

=====

[4]
Material: RbInHI2
Method: DFT, PBE-GGA
State: relaxed

Unit cell a=6.4049 b=6.4049 c=4.1481 alpha=90.00 beta=90.00 gamma=90.00
Last column: nearest neighbours and their distance in Å.
Atoms (fractional coordinates):
I1 0.0000 0.5000 0.0000  2 In 3.20
I2 0.5000 0.0000 0.0000  2 In 3.20
H1 0.0000 0.0000 0.5000  2 In 2.07
Rb1 0.5000 0.5000 0.5000  8 I 3.82, 2 Rb 4.15
In1 0.0000 0.0000 0.0000  2 H 2.07

symmetry = P4/mmm, No. 123
crystal system = tetragonal
electronic total energy = -2.665 eV per atom

=====

Look up the electronic total energy of the first one.
-4.743 eV per atom

=====

Among the records above, which one has the lowest electronic total energy?
InH3I2O8

=====

Which of these has the lowest electronic total energy?
InH3I2O8

=====

Which formula does entry 3 have?
RbInHI2